Entry from Alexandria: KNaZn2 after structural relaxation (PBE).

Cell lengths 5.5395, 5.5395, 5.5395 Å; angles 60.00, 60.00, 60.00 degrees
Fractional coordinates of all 4 atoms:
1 Zn 0.7500 0.7500 0.7500
2 Zn 0.2500 0.2500 0.2500
3 Na 0.0000 0.0000 0.0000
4 K 0.5000 0.5000 0.5000

Values from the calculation:
Space-group type: Fm-3m, No. 225
E_form in eV/atom: 0.191



Entry from Alexandria: K3Na12Zn5 after structural relaxation (PBE).

Cell lengths 16.8099, 16.8099, 16.8099 Å; angles 109.47, 109.47, 109.47 degrees
Fractional coordinates of all 80 atoms:
1 Zn 0.0000 0.5000 0.0000
2 Zn 0.0000 0.5000 0.5000
3 Na 0.3220 0.9449 0.0107
4 K 0.8750 0.1250 0.2500
5 Na 0.0658 0.8770 0.0551
6 Na 0.3770 0.0551 0.5658
7 Na 0.6230 0.6780 0.6888
8 Na 0.9449 0.6230 0.9342
9 Na 0.5107 0.6888 0.0658
10 Na 0.8770 0.8112 0.8220
11 Na 0.3770 0.3220 0.3112
12 Na 0.9893 0.5551 0.6780
13 K 0.2500 0.6250 0.8750
14 Zn 0.7500 0.6250 0.3750
15 Na 0.6888 0.1780 0.6230
16 Na 0.8220 0.5107 0.4449
17 K 0.6250 0.3750 0.7500
18 K 0.6250 0.2500 0.3750
19 K 0.3750 0.7500 0.6250
20 Zn 0.2500 0.8750 0.1250
21 Na 0.4449 0.0107 0.8220
22 Na 0.4449 0.4342 0.1230
23 Na 0.4893 0.3112 0.9342
24 K 0.1250 0.8750 0.7500
25 Na 0.5551 0.9893 0.1780
26 Zn 0.3750 0.2500 0.1250
27 Zn 0.5000 0.0000 0.0000
28 Na 0.1230 0.1888 0.1780
29 Na 0.5658 0.0107 0.6888
30 Na 0.1888 0.1230 0.6780
31 K 0.3750 0.6250 0.2500
32 Zn 0.1250 0.7500 0.3750
33 Zn 0.5000 0.5000 0.5000
34 Na 0.6780 0.0551 0.9893
35 Na 0.0658 0.1888 0.5107
36 Zn 0.0000 0.0000 0.5000
37 Na 0.9449 0.3220 0.5107
38 Na 0.9342 0.1230 0.9449
39 Na 0.1780 0.6888 0.1230
40 Na 0.0107 0.5658 0.1888
41 Na 0.5658 0.5551 0.3770
42 Na 0.3112 0.4893 0.4342
43 Na 0.6230 0.9449 0.4342
44 K 0.1250 0.2500 0.8750
45 Zn 0.6250 0.7500 0.8750
46 K 0.2500 0.1250 0.3750
47 Na 0.1888 0.0658 0.0107
48 Na 0.0107 0.4449 0.3220
49 Zn 0.3750 0.1250 0.7500
50 Zn 0.5000 0.5000 0.0000
51 Na 0.4893 0.1780 0.0551
52 Na 0.6780 0.6230 0.1888
53 Na 0.5551 0.5658 0.8770
54 Na 0.3112 0.8220 0.3770
55 Zn 0.5000 0.0000 0.5000
56 Zn 0.7500 0.1250 0.8750
57 Zn 0.1250 0.3750 0.2500
58 K 0.8750 0.7500 0.1250
59 Na 0.9893 0.4342 0.8112
60 Zn 0.2500 0.3750 0.6250
61 Na 0.9342 0.8112 0.4893
62 Na 0.3220 0.3770 0.8112
63 Na 0.4342 0.9893 0.3112
64 K 0.7500 0.3750 0.1250
65 Na 0.0551 0.3770 0.0658
66 Na 0.4342 0.4449 0.6230
67 Na 0.5107 0.8220 0.9449
68 Na 0.1230 0.9342 0.4449
69 Zn 0.6250 0.8750 0.2500
70 Zn 0.0000 0.0000 0.0000
71 Na 0.0551 0.6780 0.4893
72 Zn 0.8750 0.2500 0.6250
73 Na 0.8220 0.3112 0.8770
74 Na 0.8112 0.8770 0.3220
75 K 0.7500 0.8750 0.6250
76 Na 0.8112 0.9342 0.9893
77 Na 0.8770 0.0658 0.5551
78 Na 0.6888 0.5107 0.5658
79 Na 0.1780 0.4893 0.5551
80 Zn 0.8750 0.6250 0.7500

Values from the calculation:
Space-group type: Ia-3d, No. 230
E_form in eV/atom: 0.244



Entry from Alexandria: KNa2Zn after structural relaxation (PBE).

Cell lengths 3.8572, 3.8572, 13.3242 Å; angles 81.68, 81.68, 60.00 degrees
Fractional coordinates of all 4 atoms:
1 K 0.5000 0.5000 0.5000
2 Zn 0.0000 0.0000 0.0000
3 Na 0.0778 0.0778 0.7667
4 Na 0.9222 0.9222 0.2333

Values from the calculation:
Space-group type: R-3m, No. 166
E_form in eV/atom: 0.275